1.
NbNiOF2 (PBE+U, optimized geometry); magnetic moment = 1.000 μB per atom; distance to the lowest polymorph of the same formula = 484 meV per atom
1.0
3.801 0.000 0.000
0.000 3.801 0.000
0.000 0.000 4.268
Nb Ni O F
1 1 1 2
Cartesian
0.000 0.000 0.000
1.900 1.900 2.134
1.900 1.900 0.000
0.000 1.900 2.134
1.900 0.000 2.134

2.
Rb2NbNiF6 (PBE+U, optimized geometry); magnetic moment = 0.100 μB per atom; DFT total energy = -4.914 eV/atom
1.0
-3.043 3.043 4.640
3.043 -3.043 4.640
3.043 3.043 -4.640
Rb Nb Ni F
2 1 1 6
Cartesian
3.043 0.000 2.320
0.000 3.043 2.320
0.000 0.000 0.000
0.000 0.000 4.640
0.000 0.000 2.075
1.508 1.508 0.000
1.535 -1.535 4.640
-1.535 1.535 4.640
1.535 1.535 4.640
0.000 0.000 7.204

3.
Nb2SiNiF (PBE+U, optimized geometry); magnetic moment = 0.208 μB per atom; DFT total energy = -5.187 eV/atom
1.0
4.772 0.000 0.000
0.000 4.772 0.000
0.000 0.000 4.013
Nb Si Ni F
2 1 1 1
Cartesian
0.000 2.386 0.000
2.386 0.000 0.000
0.000 0.000 0.000
0.000 0.000 2.006
2.386 2.386 2.006

4.
TaNbNiF2 (PBE+U, optimized geometry); magnetic moment = 0.492 μB per atom; DFT total energy = -5.820 eV/atom
1.0
3.963 0.000 0.000
0.000 3.963 0.000
0.000 0.000 5.085
Ta Nb Ni F
1 1 1 2
Cartesian
0.000 0.000 0.000
1.982 1.982 2.543
0.000 0.000 2.543
0.000 1.982 0.000
1.982 0.000 0.000

> The lowest magnetic moment belongs to which entry?

Rb2NbNiF6

Repeat the fourth record exactly.
TaNbNiF2 (PBE+U, optimized geometry); magnetic moment = 0.492 μB per atom; DFT total energy = -5.820 eV/atom
1.0
3.963 0.000 0.000
0.000 3.963 0.000
0.000 0.000 5.085
Ta Nb Ni F
1 1 1 2
Cartesian
0.000 0.000 0.000
1.982 1.982 2.543
0.000 0.000 2.543
0.000 1.982 0.000
1.982 0.000 0.000